Compound: RuPt2Br
Source: the Alexandria database
Functional: PBE
Structure: relaxed

abc: 4.634 4.634 6.624
angles: 100.55 100.55 36.09
Sites, in units of the cell vectors:
Ru (0.000, 0.000, 0.000)
Pt (0.500, 0.500, 0.337)
Pt (0.746, 0.746, 0.138)
Br (0.407, 0.407, 0.682)

Space group = Cm, No. 8
Energy relative to the lowest polymorph listed for this composition = 0.0 meV/atom
Total magnetization = 0.0 μB/f.u.
Calculated total energy = -5.3806 eV/atom
Uncorrected formation energy = 0.3770 eV per atom

***

Compound: RuPt2Br
Source: the Alexandria database
Functional: PBE
Structure: relaxed

abc: 5.734 5.734 5.734
angles: 151.60 129.90 58.60
Sites, in units of the cell vectors:
Ru (0.000, 0.000, 0.000)
Pt (0.523, 0.523, 0.000)
Pt (0.775, 0.275, 0.500)
Br (0.215, 0.715, 0.500)

Space group = Imm2, No. 44
Energy relative to the lowest polymorph listed for this composition = 264.2 meV/atom
Total magnetization = 0.0 μB/f.u.
Calculated total energy = -5.1164 eV/atom
Uncorrected formation energy = 0.6412 eV per atom

***

Compound: RuPt2Br
Source: the Alexandria database
Functional: PBE
Structure: relaxed

abc: 2.943 3.529 6.959
angles: 90.00 90.00 90.00
Sites, in units of the cell vectors:
Ru (0.000, 0.000, 0.000)
Pt (0.000, 0.000, 0.401)
Pt (0.500, 0.500, 0.188)
Br (0.000, 0.500, 0.727)

Space group = Pmm2, No. 25
Energy relative to the lowest polymorph listed for this composition = 0.3 meV/atom
Total magnetization = 0.0 μB/f.u.
Calculated total energy = -5.3803 eV/atom
Uncorrected formation energy = 0.3773 eV per atom

***

Compound: RuPt2Br
Source: the Alexandria database
Functional: PBE
Structure: relaxed

abc: 6.097 6.097 6.097
angles: 114.04 114.04 100.68
Sites, in units of the cell vectors:
Ru (0.000, 0.000, 0.000)
Ru (0.750, 0.250, 0.500)
Pt (0.100, 0.625, 0.975)
Pt (0.375, 0.350, 0.475)
Pt (0.650, 0.125, 0.025)
Pt (0.875, 0.900, 0.525)
Br (0.250, 0.750, 0.500)
Br (0.500, 0.500, 0.000)

Space group = I-42d, No. 122
Energy relative to the lowest polymorph listed for this composition = 517.3 meV/atom
Total magnetization = 0.0 μB/f.u.
Calculated total energy = -4.8633 eV/atom
Uncorrected formation energy = 0.8943 eV per atom

***

Compound: RuPt2Br
Source: the Alexandria database
Functional: PBE
Structure: relaxed

abc: 5.038 5.038 2.839
angles: 90.00 90.00 114.33
Sites, in units of the cell vectors:
Ru (0.000, 0.000, 0.000)
Pt (0.000, 0.500, 0.500)
Pt (0.500, 0.000, 0.500)
Br (0.500, 0.500, 0.000)

Space group = Cmmm, No. 65
Energy relative to the lowest polymorph listed for this composition = 381.9 meV/atom
Total magnetization = 0.0 μB/f.u.
Calculated total energy = -4.9987 eV/atom
Uncorrected formation energy = 0.7589 eV per atom

***

Compound: RuPtBr4
Source: the Alexandria database
Functional: PBE
Structure: relaxed

abc: 5.949 5.949 5.949
angles: 60.00 60.00 60.00
Sites, in units of the cell vectors:
Ru (0.000, 0.000, 0.000)
Pt (0.250, 0.250, 0.250)
Br (0.125, 0.625, 0.625)
Br (0.625, 0.125, 0.625)
Br (0.625, 0.625, 0.125)
Br (0.625, 0.625, 0.625)

Space group = F-43m, No. 216
Total magnetization = 2.9 μB/f.u.
Calculated total energy = -2.0548 eV/atom
Uncorrected formation energy = 1.6132 eV per atom

***

Compound: RuPt2Br
Source: the Alexandria database
Functional: PBE
Structure: relaxed

abc: 5.049 5.049 5.049
angles: 133.35 133.35 68.11
Sites, in units of the cell vectors:
Ru (0.000, 0.000, 0.000)
Pt (0.250, 0.750, 0.500)
Pt (0.750, 0.250, 0.500)
Br (0.500, 0.500, 0.000)

Space group = I4/mmm, No. 139
Energy relative to the lowest polymorph listed for this composition = 474.3 meV/atom
Total magnetization = 1.8 μB/f.u.
Calculated total energy = -4.9063 eV/atom
Uncorrected formation energy = 0.8512 eV per atom

***

Compound: RuPt2Br
Source: the Alexandria database
Functional: PBE
Structure: relaxed

abc: 3.880 3.880 4.396
angles: 90.00 90.00 90.00
Sites, in units of the cell vectors:
Ru (0.000, 0.000, 0.000)
Pt (0.000, 0.500, 0.500)
Pt (0.500, 0.000, 0.500)
Br (0.500, 0.500, 0.000)

Space group = P4/mmm, No. 123
Energy relative to the lowest polymorph listed for this composition = 490.3 meV/atom
Total magnetization = 0.0 μB/f.u.
Calculated total energy = -4.8903 eV/atom
Uncorrected formation energy = 0.8672 eV per atom